Entry 1:
# TiNiNO2 | Alexandria | PBE+U | optimized geometry
# * calculated total energy: -6.484 eV/atom
data_TiNiNO2
_chemical_formula_sum 'Ti1 Ni1 N1 O2'
_symmetry_space_group_name_H-M 'P 1'
_symmetry_Int_Tables_number 1
_cell_length_a 3.8026
_cell_length_b 3.8026
_cell_length_c 4.0010
_cell_angle_alpha 90.00
_cell_angle_beta 90.00
_cell_angle_gamma 90.00
loop_
_symmetry_equiv_pos_as_xyz
'x,y,z'
loop_
_atom_site_label
_atom_site_type_symbol
_atom_site_fract_x
_atom_site_fract_y
_atom_site_fract_z
Ti1 Ti 0.0000 0.0000 0.0000
Ni1 Ni 0.5000 0.5000 0.5000
N1 N 0.0000 0.0000 0.5000
O1 O 0.0000 0.5000 0.0000
O2 O 0.5000 0.0000 0.0000

Entry 2:
# TiNiN2O | Alexandria | PBE+U | optimized geometry
# * calculated total energy: -6.256 eV/atom
data_TiNiN2O
_chemical_formula_sum 'Ti1 Ni1 N2 O1'
_symmetry_space_group_name_H-M 'P 1'
_symmetry_Int_Tables_number 1
_cell_length_a 3.9508
_cell_length_b 3.9508
_cell_length_c 3.7989
_cell_angle_alpha 90.00
_cell_angle_beta 90.00
_cell_angle_gamma 90.00
loop_
_symmetry_equiv_pos_as_xyz
'x,y,z'
loop_
_atom_site_label
_atom_site_type_symbol
_atom_site_fract_x
_atom_site_fract_y
_atom_site_fract_z
Ti1 Ti 0.0000 0.0000 0.0000
Ni1 Ni 0.5000 0.5000 0.5000
N1 N 0.0000 0.5000 0.0000
N2 N 0.5000 0.0000 0.0000
O1 O 0.0000 0.0000 0.5000

Entry 3:
# TiNiNO2 | Alexandria | PBE+U | optimized geometry
# * calculated total energy: -6.067 eV/atom
data_TiNiNO2
_chemical_formula_sum 'Ti1 Ni1 N1 O2'
_symmetry_space_group_name_H-M 'P 1'
_symmetry_Int_Tables_number 1
_cell_length_a 3.6195
_cell_length_b 3.6195
_cell_length_c 3.7093
_cell_angle_alpha 90.00
_cell_angle_beta 90.00
_cell_angle_gamma 90.00
loop_
_symmetry_equiv_pos_as_xyz
'x,y,z'
loop_
_atom_site_label
_atom_site_type_symbol
_atom_site_fract_x
_atom_site_fract_y
_atom_site_fract_z
Ti1 Ti 0.0000 0.0000 0.0000
Ni1 Ni 0.5000 0.5000 0.5000
N1 N 0.5000 0.5000 0.0000
O1 O 0.0000 0.5000 0.5000
O2 O 0.5000 0.0000 0.5000